Entry from Alexandria: a PBEsol-optimized structure of AlTeW2 (meta-GGA SCAN).

Lattice parameters (Å, degrees): 4.5330 4.5330 4.5330 60.00 60.00 60.00
Positions (direct):
Al (0.0000, 0.0000, 0.0000)
Te (0.5000, 0.5000, 0.5000)
W (0.2500, 0.2500, 0.2500)
W (0.7500, 0.7500, 0.7500)

The value obtained for the formation energy without anion corrections is 0.672 eV/atom. For the distance to the lowest polymorph of the same formula, the calculation gives 54 kJ/mol of formula units.